1.
A relaxed MnMoN2 crystal, computed with GGA-PBEsol.

As for the total magnetization: 6.54 μB/cell. The value obtained for the energy relative to the elements, uncorrected is -0.3450 eV per atom. For the electronic total energy, the calculation gives -159.85 eV/cell.

It has space group I-42d (No. 122), with a = 4.4911 Å, b = 4.4911 Å, c = 8.6279 Å, α = 90.00°, β = 90.00° and γ = 90.00°. The distinct sites, in fractional coordinates, are Mn at (0.0000, 0.0000, 0.0000), Mo at (0.0000, 0.0000, 0.5000) and N at (0.2282, 0.2500, 0.1250).



2.
A relaxed SrEuSe2 crystal, computed with GGA-PBEsol.

As for the total magnetization: 20.97 μB/cell. The value obtained for the energy relative to the elements, uncorrected is -2.0556 eV per atom. For the electronic total energy, the calculation gives -84.98 eV/cell.

It has space group R-3m (No. 166, hexagonal axes), with a = 4.3086 Å, b = 4.3086 Å, c = 21.1759 Å, α = 90.00°, β = 90.00° and γ = 120.00°. The distinct sites, in fractional coordinates, are Sr at (0.0000, 0.0000, 0.0000), Eu at (0.0000, 0.0000, 0.5000) and Se at (0.0000, 0.0000, 0.2473).